(1)
Computed, not measured: a crystal of Si6As2H36C12O3 relaxed with PBEsol at the meta-GGA SCAN level of DFT.

M_tot = 0.0 μB/f.u.
DFT total energy = -0.243 hartree per atom

abc: 16.920 65.235 9.533
angles: 90.00 90.00 90.00
Space group Fdd2 (No. 43)
Asymmetric unit:
Si  0.021  0.295  0.000
Si  0.038  0.342  0.941
Si  0.065  0.163  0.115
Si  0.083  0.211  0.172
Si  0.103  0.081  0.375
Si  0.122  0.033  0.434
As  0.015  0.272  0.806
As  0.047  0.353  0.707
H  0.003  0.177  0.896
H  0.004  0.400  0.992
H  0.015  0.212  0.940
H  0.020  0.464  0.428
H  0.020  0.464  0.999
H  0.026  0.079  0.599
H  0.030  0.017  0.601
H  0.032  0.078  0.149
H  0.035  0.425  0.949
H  0.037  0.151  0.876
H  0.041  0.043  0.642
H  0.043  0.404  0.364
H  0.051  0.105  0.193
H  0.057  0.021  0.217
H  0.059  0.268  0.173
H  0.061  0.467  0.600
H  0.066  0.155  0.623
H  0.066  0.487  0.477
H  0.069  0.235  0.971
H  0.076  0.104  0.748
H  0.077  0.135  0.494
H  0.079  0.194  0.673
H  0.089  0.000  0.327
H  0.091  0.263  0.469
H  0.091  0.392  0.508
H  0.095  0.293  0.223
H  0.102  0.373  0.036
H  0.104  0.218  0.602
H  0.104  0.382  0.335
H  0.105  0.028  0.840
H  0.106  0.172  0.872
H  0.108  0.161  0.455
H  0.115  0.352  0.152
H  0.120  0.212  0.920
H  0.121  0.339  0.373
H  0.123  0.196  0.502
C  0.014  0.084  0.490
C  0.036  0.032  0.556
C  0.051  0.166  0.921
C  0.062  0.152  0.509
C  0.069  0.471  0.488
C  0.070  0.218  0.984
C  0.077  0.089  0.193
C  0.081  0.203  0.575
C  0.086  0.282  0.133
C  0.098  0.396  0.397
C  0.106  0.015  0.285
C  0.114  0.357  0.041
O  0.058  0.317  0.963
O  0.084  0.186  0.190
O  0.119  0.307  0.616

***

(2)
Computed, not measured: a crystal of Sb2RhIBr relaxed with PBEsol at the meta-GGA SCAN level of DFT.

M_tot = 0.0 μB/f.u.
DFT total energy = -1.203 hartree per atom
raw formation energy = 0.171 eV/atom

abc: 5.091 5.091 5.389
angles: 90.00 90.00 90.00
Space group P4/mmm (No. 123)
Asymmetric unit:
Sb  0.000  0.500  0.000
Rh  0.000  0.000  0.000
I  0.000  0.000  0.500
Br  0.500  0.500  0.500

***

(3)
Computed, not measured: a crystal of KIr3Os relaxed with PBEsol at the meta-GGA SCAN level of DFT.

M_tot = 0.0 μB/f.u.
energy relative to the lowest polymorph listed for this composition = 0 meV/atom
DFT total energy = -2.104 hartree per atom

abc: 4.769 4.769 4.769
angles: 90.00 90.00 90.00
Space group Pm-3m (No. 221)
Asymmetric unit:
K  0.000  0.000  0.000
Ir  0.000  0.500  0.500
Os  0.500  0.500  0.500